# 1
First-principles (PBE-GGA) data for crystalline ScTc4P2 at its relaxed geometry, as listed in the Alexandria database.

Computed properties:
Its symmetry is No. 65. Its density of states at the Fermi level is 5.02 states/eV/cell. The energy is -9.01 eV per atom. As for the formation energy: -14.69 kcal/mol of atoms. The total magnetic moment is 0.00 μB per atom.

Structure (POSCAR):
```
ScTc4P2
1.0
4.0183 0.0000 0.0000
0.0000 13.2978 0.0000
0.0000 0.0000 3.9771
Sc Tc P
2 8 4
Cartesian
0.0000 0.0000 0.0000 Sc
2.0091 6.6489 0.0000 Sc
0.0000 2.3924 1.9885 Tc
0.0000 4.1399 0.0000 Tc
0.0000 9.1579 0.0000 Tc
0.0000 10.9054 1.9885 Tc
2.0091 2.5090 0.0000 Tc
2.0091 4.2565 1.9885 Tc
2.0091 9.0413 1.9885 Tc
2.0091 10.7888 0.0000 Tc
0.0000 5.5368 1.9885 P
0.0000 7.7610 1.9885 P
2.0091 1.1121 1.9885 P
2.0091 12.1857 1.9885 P
```


# 2
First-principles (PBE-GGA) data for crystalline La3B8Os3 at its relaxed geometry, as listed in the Alexandria database.

Computed properties:
Its symmetry is No. 71. Its density of states at the Fermi level is 6.45 states/eV/cell. The energy is -7.29 eV per atom. As for the formation energy: -0.28 kcal/mol of atoms. The total magnetic moment is 0.00 μB per atom.

Structure (POSCAR):
```
La3B8Os3
1.0
-1.7914 4.8610 5.2384
1.7914 -4.8610 5.2384
1.7914 4.8610 -5.2384
La B Os
3 8 3
Cartesian
0.0000 0.0000 0.0000 La
0.0000 0.0000 2.9811 La
0.0000 0.0000 7.4957 La
1.7914 2.0231 -1.9968 B
1.7914 -2.0256 3.7808 B
1.7914 2.0231 1.9968 B
0.0000 2.8354 1.4576 B
1.7914 2.0256 3.7808 B
0.0000 2.8378 3.2416 B
0.0000 6.8866 1.4576 B
0.0000 2.8378 7.2352 B
1.7914 2.7117 0.0000 Os
0.0000 4.8610 0.0000 Os
0.0000 2.1493 5.2384 Os
```


# 3
First-principles (PBE-GGA) data for crystalline AlInSn2 at its relaxed geometry, as listed in the Alexandria database.

Computed properties:
Its symmetry is No. 166. Its density of states at the Fermi level is 7.94 states/eV/cell. The energy is -3.44 eV per atom. As for the formation energy: 4.08 kcal/mol of atoms. The value obtained for the energy above the most stable polymorph in this dataset is 0.33 eV per formula unit. The total magnetic moment is 0.00 μB per atom.

Structure (POSCAR):
```
AlInSn2
1.0
3.2496 0.0000 0.0000
-1.6248 2.8143 0.0000
0.0000 0.0000 34.3044
Al In Sn
3 3 6
Cartesian
0.0000 0.0000 0.0000 Al
0.0000 1.8762 22.8696 Al
1.6248 0.9381 11.4348 Al
0.0000 0.0000 17.1522 In
0.0000 1.8762 5.7174 In
1.6248 0.9381 28.5870 In
0.0000 0.0000 2.8356 Sn
0.0000 0.0000 31.4688 Sn
0.0000 1.8762 20.0340 Sn
0.0000 1.8762 25.7051 Sn
1.6248 0.9381 8.5993 Sn
1.6248 0.9381 14.2703 Sn
```